# Tl2ReP

An optimized crystal structure of Tl2ReP (GGA-PBEsol, the Alexandria database).

Cell and atoms, written as POSCAR:
```
Tl2ReP
1.0
-2.3353 -1.0139 1.3579
2.7732 -0.4993 4.3965
-2.0424 4.8054 0.0757
P Re Tl
1 1 2
direct
0.5000 0.0000 0.0000
0.5000 0.5000 0.5000
0.0000 0.5000 0.0000
0.0000 0.0000 0.5000
```

## Properties
Offset from the most stable computed form in meV/atom: 788
Energy relative to the elements in meV per atom: 1005
Symmetry: No. 65
Size of the total moment in Bohr magnetons per cell: 0.0
Electronic total energy in eV/atom: -5.091
Mass density in g/cm³: 13.775